Entry 1:
VASP calculation (PBE) on a relaxed structure of LiCa2Al2Zn5. Values from VASP.

```
&SYSTEM
  ibrav = 0, nat = 20, ntyp = 4
/
ATOMIC_SPECIES
Li 6.94 Li.upf
Ca 40.08 Ca.upf
Al 26.98 Al.upf
Zn 65.41 Zn.upf
ATOMIC_POSITIONS crystal
Li 0.000 0.000 0.000
Li 0.500 0.500 0.000
Ca 0.177 0.323 0.000
Ca 0.323 0.823 0.000
Ca 0.677 0.177 0.000
Ca 0.823 0.677 0.000
Al 0.120 0.620 0.000
Al 0.380 0.120 0.000
Al 0.620 0.880 0.000
Al 0.880 0.380 0.000
Zn 0.000 0.500 0.500
Zn 0.055 0.806 0.500
Zn 0.194 0.055 0.500
Zn 0.306 0.555 0.500
Zn 0.445 0.306 0.500
Zn 0.500 0.000 0.500
Zn 0.555 0.694 0.500
Zn 0.694 0.445 0.500
Zn 0.806 0.945 0.500
Zn 0.945 0.194 0.500
CELL_PARAMETERS angstrom
10.220 0.000 0.000
0.000 10.220 0.000
0.000 0.000 3.739
```

Its formation energy is -155 meV per atom. As for the space-group type: P4/mbm, No. 127. The calculation puts the density of states at the Fermi level at 0.416 states/eV per atom.

=====

Entry 2:
VASP calculation (PBE) on a relaxed structure of LiCaAlZn. Values from VASP.

```
&SYSTEM
  ibrav = 0, nat = 4, ntyp = 4
/
ATOMIC_SPECIES
Li 6.94 Li.upf
Ca 40.08 Ca.upf
Al 26.98 Al.upf
Zn 65.41 Zn.upf
ATOMIC_POSITIONS crystal
Li 0.000 0.000 0.000
Ca 0.250 0.250 0.250
Al 0.750 0.750 0.750
Zn 0.500 0.500 0.500
CELL_PARAMETERS angstrom
0.000 3.366 3.366
3.366 0.000 3.366
3.366 3.366 0.000
```

Its formation energy is -219 meV per atom. As for the space-group type: F-43m, No. 216. The calculation puts the density of states at the Fermi level at 0.307 states/eV per atom.

=====

Entry 3:
VASP calculation (PBE) on a relaxed structure of LiCa2Al3Zn4. Values from VASP.

```
&SYSTEM
  ibrav = 0, nat = 10, ntyp = 4
/
ATOMIC_SPECIES
Li 6.94 Li.upf
Ca 40.08 Ca.upf
Al 26.98 Al.upf
Zn 65.41 Zn.upf
ATOMIC_POSITIONS crystal
Li 0.000 0.000 0.000
Ca 0.000 0.500 0.746
Ca 0.500 0.000 0.254
Al 0.000 0.500 0.365
Al 0.500 0.000 0.635
Al 0.500 0.500 0.000
Zn 0.000 0.000 0.500
Zn 0.000 0.500 0.125
Zn 0.500 0.000 0.875
Zn 0.500 0.500 0.500
CELL_PARAMETERS angstrom
4.400 0.000 0.000
0.000 4.400 0.000
0.000 0.000 10.360
```

Its formation energy is -210 meV per atom. As for the space-group type: P-4m2, No. 115. The calculation puts the density of states at the Fermi level at 0.379 states/eV per atom.

=====

Entry 4:
VASP calculation (PBE) on a relaxed structure of Li2CaAlZn. Values from VASP.

```
&SYSTEM
  ibrav = 0, nat = 5, ntyp = 4
/
ATOMIC_SPECIES
Li 6.94 Li.upf
Ca 40.08 Ca.upf
Al 26.98 Al.upf
Zn 65.41 Zn.upf
ATOMIC_POSITIONS crystal
Li 0.000 0.500 0.000
Li 0.500 0.000 0.000
Ca 0.000 0.000 0.500
Al 0.500 0.500 0.500
Zn 0.500 0.500 0.000
CELL_PARAMETERS angstrom
4.882 0.000 0.000
0.000 4.882 0.000
0.000 0.000 4.726
```

Its formation energy is -11 meV per atom. As for the space-group type: P4/mmm, No. 123. The calculation puts the density of states at the Fermi level at 0.541 states/eV per atom.

=====

Entry 5:
VASP calculation (PBE) on a relaxed structure of CaLu2Al. Values from VASP.

```
&SYSTEM
  ibrav = 0, nat = 4, ntyp = 3
/
ATOMIC_SPECIES
Ca 40.08 Ca.upf
Lu 174.97 Lu.upf
Al 26.98 Al.upf
ATOMIC_POSITIONS crystal
Ca 0.000 0.000 0.000
Lu 0.000 0.500 0.500
Lu 0.500 0.000 0.500
Al 0.500 0.500 0.000
CELL_PARAMETERS angstrom
4.795 0.000 0.000
0.000 4.795 0.000
0.000 0.000 4.668
```

Its formation energy is -65 meV per atom. As for the space-group type: P4/mmm, No. 123. The calculation puts the density of states at the Fermi level at 0.844 states/eV per atom. Its excess energy over the best structure of this formula in the dataset is 73 meV per atom.

=====

Entry 6:
VASP calculation (PBE) on a relaxed structure of CaLu2Al. Values from VASP.

```
&SYSTEM
  ibrav = 0, nat = 4, ntyp = 3
/
ATOMIC_SPECIES
Ca 40.08 Ca.upf
Lu 174.97 Lu.upf
Al 26.98 Al.upf
ATOMIC_POSITIONS crystal
Ca 0.000 0.000 0.000
Lu 0.500 0.500 0.308
Lu 0.500 0.500 0.692
Al 0.000 0.000 0.500
CELL_PARAMETERS angstrom
3.538 0.000 0.000
0.000 3.538 0.000
0.000 0.000 9.097
```

Its formation energy is -138 meV per atom. As for the space-group type: P4/mmm, No. 123. The calculation puts the density of states at the Fermi level at 0.751 states/eV per atom. Its excess energy over the best structure of this formula in the dataset is 0 meV per atom.

=====

Entry 7:
VASP calculation (PBE) on a relaxed structure of CaLu2Al. Values from VASP.

```
&SYSTEM
  ibrav = 0, nat = 4, ntyp = 3
/
ATOMIC_SPECIES
Ca 40.08 Ca.upf
Lu 174.97 Lu.upf
Al 26.98 Al.upf
ATOMIC_POSITIONS crystal
Ca 0.000 0.000 0.000
Lu 0.100 0.100 0.100
Lu 0.900 0.900 0.900
Al 0.500 0.500 0.500
CELL_PARAMETERS angstrom
1.742 1.006 11.229
-1.742 1.006 11.229
0.000 -2.011 11.229
```

Its formation energy is 99 meV per atom. As for the space-group type: R-3m, No. 166. The calculation puts the density of states at the Fermi level at 1.286 states/eV per atom. Its excess energy over the best structure of this formula in the dataset is 238 meV per atom.

=====

Entry 8:
VASP calculation (PBE) on a relaxed structure of CaLuAl4. Values from VASP.

```
&SYSTEM
  ibrav = 0, nat = 6, ntyp = 3
/
ATOMIC_SPECIES
Ca 40.08 Ca.upf
Lu 174.97 Lu.upf
Al 26.98 Al.upf
ATOMIC_POSITIONS crystal
Ca 0.000 0.000 0.000
Lu 0.750 0.750 0.750
Al 0.375 0.375 0.375
Al 0.375 0.375 0.874
Al 0.375 0.874 0.375
Al 0.874 0.375 0.375
CELL_PARAMETERS angstrom
0.000 3.936 3.936
3.936 0.000 3.936
3.936 3.936 0.000
```

Its formation energy is -376 meV per atom. As for the space-group type: F-43m, No. 216. The calculation puts the density of states at the Fermi level at 0.679 states/eV per atom.

=====

Entry 9:
VASP calculation (PBE) on a relaxed structure of CaLuAlPb. Values from VASP.

```
&SYSTEM
  ibrav = 0, nat = 4, ntyp = 4
/
ATOMIC_SPECIES
Ca 40.08 Ca.upf
Lu 174.97 Lu.upf
Al 26.98 Al.upf
Pb 207.20 Pb.upf
ATOMIC_POSITIONS crystal
Ca 0.000 0.000 0.000
Lu 0.500 0.500 0.500
Al 0.250 0.250 0.250
Pb 0.750 0.750 0.750
CELL_PARAMETERS angstrom
0.000 3.747 3.747
3.747 0.000 3.747
3.747 3.747 0.000
```

Its formation energy is -268 meV per atom. As for the space-group type: F-43m, No. 216. The calculation puts the density of states at the Fermi level at 0.579 states/eV per atom.

=====

Entry 10:
VASP calculation (PBE) on a relaxed structure of CaPrLuAl. Values from VASP.

```
&SYSTEM
  ibrav = 0, nat = 4, ntyp = 4
/
ATOMIC_SPECIES
Ca 40.08 Ca.upf
Pr 140.91 Pr.upf
Lu 174.97 Lu.upf
Al 26.98 Al.upf
ATOMIC_POSITIONS crystal
Ca 0.000 0.000 0.000
Pr 0.250 0.250 0.250
Lu 0.750 0.750 0.750
Al 0.500 0.500 0.500
CELL_PARAMETERS angstrom
0.000 3.839 3.839
3.839 0.000 3.839
3.839 3.839 0.000
```

Its formation energy is -39 meV per atom. As for the space-group type: F-43m, No. 216. The calculation puts the density of states at the Fermi level at 0.686 states/eV per atom.

=====

Entry 11:
VASP calculation (PBE) on a relaxed structure of CaSmLuAl. Values from VASP.

```
&SYSTEM
  ibrav = 0, nat = 4, ntyp = 4
/
ATOMIC_SPECIES
Ca 40.08 Ca.upf
Sm 150.36 Sm.upf
Lu 174.97 Lu.upf
Al 26.98 Al.upf
ATOMIC_POSITIONS crystal
Ca 0.000 0.000 0.000
Sm 0.250 0.250 0.250
Lu 0.750 0.750 0.750
Al 0.500 0.500 0.500
CELL_PARAMETERS angstrom
0.000 3.808 3.808
3.808 0.000 3.808
3.808 3.808 0.000
```

Its formation energy is -35 meV per atom. As for the space-group type: F-43m, No. 216. The calculation puts the density of states at the Fermi level at 0.748 states/eV per atom.

=====

Entry 12:
VASP calculation (PBE) on a relaxed structure of CaLuAlSn. Values from VASP.

```
&SYSTEM
  ibrav = 0, nat = 4, ntyp = 4
/
ATOMIC_SPECIES
Ca 40.08 Ca.upf
Lu 174.97 Lu.upf
Al 26.98 Al.upf
Sn 118.71 Sn.upf
ATOMIC_POSITIONS crystal
Ca 0.000 0.000 0.000
Lu 0.500 0.500 0.500
Al 0.750 0.750 0.750
Sn 0.250 0.250 0.250
CELL_PARAMETERS angstrom
0.000 3.699 3.699
3.699 0.000 3.699
3.699 3.699 0.000
```

Its formation energy is -361 meV per atom. As for the space-group type: F-43m, No. 216. The calculation puts the density of states at the Fermi level at 0.572 states/eV per atom.

=====

Entry 13:
VASP calculation (PBE) on a relaxed structure of CaYLuAl. Values from VASP.

```
&SYSTEM
  ibrav = 0, nat = 4, ntyp = 4
/
ATOMIC_SPECIES
Ca 40.08 Ca.upf
Y 88.91 Y.upf
Lu 174.97 Lu.upf
Al 26.98 Al.upf
ATOMIC_POSITIONS crystal
Ca 0.000 0.000 0.000
Y 0.250 0.250 0.250
Lu 0.750 0.750 0.750
Al 0.500 0.500 0.500
CELL_PARAMETERS angstrom
0.000 3.783 3.783
3.783 0.000 3.783
3.783 3.783 0.000
```

Its formation energy is -34 meV per atom. As for the space-group type: F-43m, No. 216. The calculation puts the density of states at the Fermi level at 0.811 states/eV per atom.